Entry 1:
This record from Alexandria describes a relaxed structure of MgTePt2. The functional is PBE.

DOS at the Fermi energy   1.86 states/eV per cell
Formation energy (no corrections)   -0.377 eV/atom
Energy above the lowest structure with this stoichiometry   37.7 meV/atom
E   -4.5820 eV per atom

a b c (Å): 4.3541 4.3541 3.8200
angles (deg): 90.00 90.00 90.00
Element x y z (fractional)
Mg (0.0000, 0.0000, 0.0000)
Te (0.5000, 0.5000, 0.0000)
Pt (0.0000, 0.5000, 0.5000)
Pt (0.5000, 0.0000, 0.5000)

***

Entry 2:
This record from Alexandria describes a relaxed structure of MgTePt. The functional is PBE.

DOS at the Fermi energy   1.06 states/eV per cell
Formation energy (no corrections)   -0.316 eV/atom
E   -3.9088 eV per atom

a b c (Å): 4.5362 4.5362 7.4266
angles (deg): 90.00 90.00 120.00
Element x y z (fractional)
Mg (0.0000, 0.0000, 0.0000)
Mg (0.0000, 0.0000, 0.5000)
Te (0.3333, 0.6667, 0.2500)
Te (0.6667, 0.3333, 0.7500)
Pt (0.3333, 0.6667, 0.7500)
Pt (0.6667, 0.3333, 0.2500)

***

Entry 3:
This record from Alexandria describes a relaxed structure of MgTePt. The functional is PBE.

DOS at the Fermi energy   1.43 states/eV per cell
Formation energy (no corrections)   -0.481 eV/atom
E   -4.0731 eV per atom

a b c (Å): 4.2229 4.6752 8.0245
angles (deg): 73.76 74.80 63.19
Element x y z (fractional)
Mg (0.0000, 0.0000, 0.0000)
Mg (0.1818, 0.1290, 0.5071)
Te (0.3663, 0.4684, 0.7975)
Te (0.6215, 0.4996, 0.2563)
Pt (0.6884, 0.8797, 0.7427)
Pt (0.9049, 0.8416, 0.3479)

***

Entry 4:
This record from Alexandria describes a relaxed structure of Th2MgPt. The functional is PBE.

DOS at the Fermi energy   4.06 states/eV per cell
Energy above the lowest structure with this stoichiometry   0.0 meV/atom
E   -6.0908 eV per atom
Energy of formation from the pure elements   -472 meV per atom

a b c (Å): 3.7496 3.7496 7.3933
angles (deg): 90.00 90.00 90.00
Element x y z (fractional)
Th (0.0000, 0.0000, 0.2238)
Th (0.0000, 0.0000, 0.7762)
Mg (0.5000, 0.5000, 0.5000)
Pt (0.5000, 0.5000, 0.0000)

***

Entry 5:
This record from Alexandria describes a relaxed structure of Th3Mg7Pt4. The functional is PBE.

DOS at the Fermi energy   7.80 states/eV per cell
E   -4.8094 eV per atom
Energy of formation from the pure elements   -696 meV per atom

a b c (Å): 8.6641 8.6641 11.0510
angles (deg): 123.22 123.22 26.98
Element x y z (fractional)
Th (0.0000, 0.0000, 0.0000)
Th (0.2966, 0.2966, 0.2814)
Th (0.7034, 0.7034, 0.7186)
Mg (0.0000, 0.0000, 0.5000)
Mg (0.1674, 0.1674, 0.4308)
Mg (0.3239, 0.3239, 0.9983)
Mg (0.4867, 0.4867, 0.7012)
Mg (0.5133, 0.5133, 0.2988)
Mg (0.6761, 0.6761, 0.0017)
Mg (0.8326, 0.8326, 0.5692)
Pt (0.1182, 0.1182, 0.8080)
Pt (0.3527, 0.3527, 0.7723)
Pt (0.6473, 0.6473, 0.2277)
Pt (0.8818, 0.8818, 0.1920)

***

Entry 6:
This record from Alexandria describes a relaxed structure of ThMgPt4. The functional is PBE.

DOS at the Fermi energy   2.86 states/eV per cell
E   -6.4525 eV per atom
Energy of formation from the pure elements   -923 meV per atom

a b c (Å): 4.1265 8.1901 6.8286
angles (deg): 90.00 107.41 90.00
Element x y z (fractional)
Th (0.1575, 0.2500, 0.3179)
Th (0.8425, 0.7500, 0.6821)
Mg (0.1402, 0.7500, 0.2799)
Mg (0.8598, 0.2500, 0.7201)
Pt (0.0000, 0.0000, 0.0000)
Pt (0.0000, 0.5000, 0.0000)
Pt (0.3360, 0.0106, 0.6697)
Pt (0.3360, 0.4894, 0.6697)
Pt (0.4973, 0.2500, 0.9958)
Pt (0.5027, 0.7500, 0.0042)
Pt (0.6640, 0.5106, 0.3303)
Pt (0.6640, 0.9894, 0.3303)

***

Entry 7:
This record from Alexandria describes a relaxed structure of ThMg4Pt2. The functional is PBE.

DOS at the Fermi energy   6.18 states/eV per cell
E   -4.4031 eV per atom
Energy of formation from the pure elements   -706 meV per atom

a b c (Å): 8.6482 8.6482 3.9870
angles (deg): 90.00 90.00 90.00
Element x y z (fractional)
Th (0.0000, 0.0000, 0.0000)
Th (0.5000, 0.5000, 0.5000)
Mg (0.0982, 0.3368, 0.5000)
Mg (0.1632, 0.5982, 0.0000)
Mg (0.3368, 0.0982, 0.5000)
Mg (0.4018, 0.8368, 0.0000)
Mg (0.5982, 0.1632, 0.0000)
Mg (0.6632, 0.9018, 0.5000)
Mg (0.8368, 0.4018, 0.0000)
Mg (0.9018, 0.6632, 0.5000)
Pt (0.1786, 0.8214, 0.5000)
Pt (0.3214, 0.3214, 0.0000)
Pt (0.6786, 0.6786, 0.0000)
Pt (0.8214, 0.1786, 0.5000)

***

Entry 8:
This record from Alexandria describes a relaxed structure of ThMg3Pt3. The functional is PBE.

DOS at the Fermi energy   6.54 states/eV per cell
E   -4.3935 eV per atom
Energy of formation from the pure elements   -61 meV per atom

a b c (Å): 6.9392 6.9392 6.9392
angles (deg): 90.00 90.00 90.00
Element x y z (fractional)
Th (0.0000, 0.0000, 0.0000)
Th (0.5000, 0.5000, 0.5000)
Mg (0.0000, 0.2500, 0.5000)
Mg (0.0000, 0.7500, 0.5000)
Mg (0.2500, 0.5000, 0.0000)
Mg (0.5000, 0.0000, 0.2500)
Mg (0.5000, 0.0000, 0.7500)
Mg (0.7500, 0.5000, 0.0000)
Pt (0.0000, 0.5000, 0.2500)
Pt (0.0000, 0.5000, 0.7500)
Pt (0.2500, 0.0000, 0.5000)
Pt (0.5000, 0.2500, 0.0000)
Pt (0.5000, 0.7500, 0.0000)
Pt (0.7500, 0.0000, 0.5000)